CdSeCl: optimized geometry, PBE. Values from VASP.

**Energy relative to the lowest polymorph listed for this composition**: 519 meV/atom
**Total magnetization**: 0.8 μB per formula unit

```
&SYSTEM
  ibrav = 0, nat = 3, ntyp = 3
/
ATOMIC_SPECIES
Cd 112.41 Cd.upf
Cl 35.45 Cl.upf
Se 78.96 Se.upf
ATOMIC_POSITIONS crystal
Cd 0.750 0.750 0.750
Cl 0.000 0.000 0.000
Se 0.500 0.500 0.500
CELL_PARAMETERS angstrom
4.756 0.000 0.000
2.378 4.119 0.000
2.378 1.373 3.884
```